1.
A plane-wave DFT calculation with PBE was carried out for crystalline FeCu2Tc at its relaxed geometry.

Cell lengths 4.1397, 4.1397, 4.1397 Å; angles 60.00, 60.00, 60.00 degrees
Element x y z (fractional)
Tc (0.7500, 0.7500, 0.7500)
Cu (0.0000, 0.0000, 0.0000)
Cu (0.2500, 0.2500, 0.2500)
Fe (0.5000, 0.5000, 0.5000)

Results
DFT formation energy: 0.29 eV per atom
Uncorrected energy: -6.4608 eV per atom

2.
A plane-wave DFT calculation with PBE was carried out for crystalline LaTb4Er at its relaxed geometry.

Cell lengths 4.5338, 4.5340, 11.2083 Å; angles 90.00, 90.00, 90.00 degrees
Element x y z (fractional)
Er (0.4973, 0.5013, 0.0019)
Tb (0.4973, 0.0013, 0.2435)
Tb (0.9973, 0.5013, 0.2435)
Tb (0.9973, 0.5013, 0.7602)
La (0.9973, 0.0013, 0.5019)
Tb (0.4973, 0.0013, 0.7602)

Results
DFT formation energy: 0.63 eV per atom
Uncorrected energy: -4.0396 eV per atom

3.
A plane-wave DFT calculation with PBE was carried out for crystalline KCu3Ag4Br12 at its relaxed geometry.

Cell lengths 8.9384, 8.9384, 8.9384 Å; angles 109.47, 109.47, 109.47 degrees
Element x y z (fractional)
Br (0.1647, 0.8372, 0.6725)
Br (0.6725, 0.8353, 0.5078)
Br (0.1628, 0.3275, 0.8353)
Br (0.8353, 0.1628, 0.3275)
Ag (0.0000, 0.0000, 0.5000)
Br (0.6725, 0.1647, 0.8372)
Br (0.4922, 0.3275, 0.1647)
Ag (0.0000, 0.5000, 0.0000)
Ag (0.5000, 0.5000, 0.5000)
Br (0.5078, 0.6725, 0.8353)
K (0.0000, 0.0000, 0.0000)
Br (0.8372, 0.6725, 0.1647)
Br (0.8353, 0.5078, 0.6725)
Cu (0.0000, 0.5000, 0.5000)
Br (0.1647, 0.4922, 0.3275)
Cu (0.5000, 0.5000, 0.0000)
Br (0.3275, 0.1647, 0.4922)
Ag (0.5000, 0.0000, 0.0000)
Cu (0.5000, 0.0000, 0.5000)
Br (0.3275, 0.8353, 0.1628)

Results
Uncorrected energy: -2.6435 eV per atom
Formation energy (no corrections): -0.40 eV/atom